! Ba4MgCd, optimized geometry, DFT PBE; values from VASP
&SYSTEM
  ibrav = 0, nat = 6, ntyp = 3
/
ATOMIC_SPECIES
Ba 137.33 Ba.upf
Mg 24.30 Mg.upf
Cd 112.41 Cd.upf
CELL_PARAMETERS angstrom
0.0000 5.2903 5.2903
5.2903 0.0000 5.2903
5.2903 5.2903 0.0000
ATOMIC_POSITIONS angstrom
Ba 1.3212 1.3212 1.3212
Ba 3.9691 3.9691 1.3212
Ba 3.9691 1.3212 3.9691
Ba 1.3212 3.9691 3.9691
Mg 5.2903 5.2903 5.2903
Cd 7.9354 7.9354 7.9354
! * raw total energy: -1.3289 eV/atom
! * magnetization: 0.00 μB/cell
! * space group: F-43m, No. 216

! HoErAlRh, optimized geometry, DFT PBE; values from VASP
&SYSTEM
  ibrav = 0, nat = 4, ntyp = 4
/
ATOMIC_SPECIES
Ho 164.93 Ho.upf
Er 167.26 Er.upf
Al 26.98 Al.upf
Rh 102.91 Rh.upf
CELL_PARAMETERS angstrom
0.0000 3.5061 3.5061
3.5061 0.0000 3.5061
3.5061 3.5061 0.0000
ATOMIC_POSITIONS angstrom
Ho 0.0000 0.0000 0.0000
Er 3.5061 3.5061 3.5061
Al 5.2592 5.2592 5.2592
Rh 1.7531 1.7531 1.7531
! * raw total energy: -5.6448 eV/atom
! * magnetization: 0.00 μB/cell
! * space group: F-43m, No. 216

Across the entries above, formation enthalpy at 0 K takes the values 371 -586 meV/atom, respectively.